The following is a GGA+U calculation of a relaxed structure of RbNaVF6, from the Alexandria database.

Computed properties:
* magnetization: 1.00 μB per formula unit
* raw total energy: -5.181 eV/atom

a b c (Å): 5.731 5.792 5.771
angles (deg): 90.19 90.07 59.60
Last column: magnetic moment on the atom in μB.
Atoms (fractional coordinates):
F: 0.349 0.595 0.313  0.01
Rb: 0.005 0.998 0.001  0.00
Na: 0.665 0.668 0.501  0.00
F: 0.058 0.595 0.687  -0.01
F: 0.590 0.057 0.310  -0.01
V: 0.336 0.332 0.500  0.99
F: 0.348 0.056 0.687  0.01
F: 0.591 0.351 0.690  -0.01
F: 0.058 0.348 0.313  0.00